(1)
First-principles (GGA-PBE) data for a relaxed UAsH2Ru crystal, as listed in Alexandria.

Lattice parameters (Å, degrees): 3.9731 5.6037 5.8069 90.00 90.00 110.76
Last column: magnetic moment on the atom in μB.
Fractional positions:
H1 0.8349 0.6699 0.4298  -0.01
H2 0.8349 0.6699 0.0702  -0.01
H3 0.1651 0.3301 0.5702  -0.01
H4 0.1651 0.3301 0.9298  -0.01
As1 0.4228 0.8457 0.7500  -0.03
As2 0.5772 0.1543 0.2500  -0.03
Ru1 0.0000 0.0000 0.5000  0.14
Ru2 0.0000 0.0000 0.0000  0.14
U1 0.2870 0.5741 0.2500  2.31
U2 0.7130 0.4259 0.7500  2.31

Calculated values
* theoretical density: 11.430 g/cm3
* calculated volume: 12.089 Å³/atom
* raw total energy: -6.766 eV/atom

(2)
First-principles (GGA-PBE) data for a relaxed UAsHRu crystal, as listed in Alexandria.

Lattice parameters (Å, degrees): 4.2681 4.2691 3.7238 90.00 90.00 119.99
Last column: magnetic moment on the atom in μB.
Fractional positions:
As1 0.9053 0.8105 0.8463  -0.04
H1 0.2386 0.4772 0.2881  -0.01
U1 0.5720 0.1440 0.3280  1.13
Ru1 0.2385 0.4770 0.7767  -0.29

Calculated values
* theoretical density: 11.728 g/cm3
* calculated volume: 14.691 Å³/atom
* raw total energy: -7.650 eV/atom

(3)
First-principles (GGA-PBE) data for a relaxed AsHS2 crystal, as listed in Alexandria.

Lattice parameters (Å, degrees): 7.9496 7.9496 7.9496 21.05 21.05 21.05
Fractional positions:
S1 0.1089 0.1089 0.1089
S2 0.8911 0.8911 0.8911
As1 0.0000 0.0000 0.0000
H1 0.5000 0.5000 0.5000

Calculated values
* theoretical density: 4.098 g/cm3
* calculated volume: 14.187 Å³/atom
* relative energy among the computed polymorphs: 0.9554 eV per atom
* raw total energy: -3.256 eV/atom

(4)
First-principles (GGA-PBE) data for a relaxed AsHS2 crystal, as listed in Alexandria.

Lattice parameters (Å, degrees): 4.3442 4.3442 4.3442 60.00 60.00 60.00
Fractional positions:
H1 0.0000 0.0000 0.0000
S1 0.2500 0.2500 0.2500
S2 0.7500 0.7500 0.7500
As1 0.5000 0.5000 0.5000

Calculated values
* theoretical density: 4.012 g/cm3
* calculated volume: 14.493 Å³/atom
* relative energy among the computed polymorphs: 0.9595 eV per atom
* raw total energy: -3.252 eV/atom

(5)
First-principles (GGA-PBE) data for a relaxed As2H3S4 crystal, as listed in Alexandria.

Lattice parameters (Å, degrees): 9.3759 6.0406 9.8976 103.05 75.81 72.01
Fractional positions:
As1 0.8503 0.5008 0.3812
As2 0.4413 0.9068 0.7620
As3 0.1497 0.4992 0.6188
As4 0.5587 0.0932 0.2380
H1 0.4319 0.9959 0.6286
H2 0.0231 0.0271 0.1863
H3 0.5681 0.0041 0.3714
H4 0.3004 0.2330 0.0379
H5 0.6996 0.7670 0.9621
H6 0.9769 0.9729 0.8137
S1 0.3201 0.3006 0.9143
S2 0.1780 0.4888 0.3860
S3 0.7041 0.8844 0.7252
S4 0.6799 0.6994 0.0857
S5 0.2959 0.1156 0.2748
S6 0.1083 0.9056 0.6948
S7 0.8917 0.0944 0.3052
S8 0.8220 0.5112 0.6140

Calculated values
* theoretical density: 1.911 g/cm3
* calculated volume: 27.138 Å³/atom
* raw total energy: -3.997 eV/atom

(6)
First-principles (GGA-PBE) data for a relaxed AsHS2 crystal, as listed in Alexandria.

Lattice parameters (Å, degrees): 6.4181 6.4181 6.4181 34.34 34.34 34.34
Fractional positions:
S1 0.9101 0.9101 0.9101
S2 0.0899 0.0899 0.0899
As1 0.5000 0.5000 0.5000
H1 0.0000 0.0000 0.0000

Calculated values
* theoretical density: 3.100 g/cm3
* calculated volume: 18.757 Å³/atom
* relative energy among the computed polymorphs: 0.1770 eV per atom
* raw total energy: -4.034 eV/atom

Question: Look up the theoretical density of the fourth one.
Answer: 4.012 g/cm3

Question: What is the raw total energy in the third record?
Answer: -3.256 eV/atom

Question: theoretical density of number 3 (AsHS2)?
Answer: 4.098 g/cm3

Question: Which value of raw total energy does entry 5 give?
Answer: -3.997 eV/atom